A relaxed CeZr4Os5 crystal, computed with PBE.

Results
- total magnetic moment (μB/cell) = 0.0
- formation energy from the elements (eV per atom) = -0.41
- DFT total energy (eV per atom) = -10.040
- V (Å³/atom) = 18.413

Cell lengths 3.280, 3.280, 17.117 Å; angles 90.00, 90.00, 90.00 degrees
Fractional positions:
Ce1 0.000 0.000 0.000
Zr1 0.000 0.000 0.208
Zr2 0.000 0.000 0.403
Zr3 0.000 0.000 0.597
Zr4 0.000 0.000 0.792
Os1 0.500 0.500 0.116
Os2 0.500 0.500 0.308
Os3 0.500 0.500 0.500
Os4 0.500 0.500 0.692
Os5 0.500 0.500 0.884

A relaxed CeP crystal, computed with PBE.

Results
- total magnetic moment (μB/cell) = 1.6
- formation energy from the elements (eV per atom) = -1.28
- DFT total energy (eV per atom) = -6.956
- V (Å³/atom) = 23.116

Cell lengths 3.829, 4.380, 5.850 Å; angles 90.00, 109.53, 90.00 degrees
Last column: magnetic moment on the atom in μB.
Fractional positions:
Ce1 0.881 0.250 0.755  0.69
Ce2 0.119 0.750 0.245  0.69
P1 0.615 0.250 0.236  -0.04
P2 0.385 0.750 0.764  -0.04

A relaxed CeP3 crystal, computed with PBE.

Results
- total magnetic moment (μB/cell) = 0.0
- formation energy from the elements (eV per atom) = -0.51
- DFT total energy (eV per atom) = -6.050
- V (Å³/atom) = 17.671

Cell lengths 5.633, 5.633, 5.145 Å; angles 90.00, 90.00, 120.00 degrees
Fractional positions:
Ce1 0.333 0.667 0.750
Ce2 0.667 0.333 0.250
P1 0.153 0.305 0.250
P2 0.695 0.847 0.250
P3 0.153 0.847 0.250
P4 0.847 0.695 0.750
P5 0.305 0.153 0.750
P6 0.847 0.153 0.750

A relaxed Ce3P crystal, computed with PBE.

Results
- total magnetic moment (μB/cell) = 0.8
- formation energy from the elements (eV per atom) = -0.60
- DFT total energy (eV per atom) = -6.399
- V (Å³/atom) = 24.138

Cell lengths 3.708, 5.450, 5.805 Å; angles 118.00, 108.63, 90.00 degrees
Last column: magnetic moment on the atom in μB.
Fractional positions:
P1 0.000 0.051 0.000  -0.01
Ce1 0.290 0.616 0.581  0.23
Ce2 0.500 0.465 0.000  0.25
Ce3 0.710 0.035 0.419  0.23

A relaxed CeP crystal, computed with PBE.

Results
- total magnetic moment (μB/cell) = 0.7
- formation energy from the elements (eV per atom) = -1.15
- DFT total energy (eV per atom) = -6.824
- V (Å³/atom) = 21.386

Cell lengths 3.497, 3.497, 3.497 Å; angles 90.00, 90.00, 90.00 degrees
Last column: magnetic moment on the atom in μB.
Fractional positions:
P1 0.500 0.500 0.500  -0.04
Ce1 0.000 0.000 0.000  0.61

A relaxed Ce3P crystal, computed with PBE.

Results
- total magnetic moment (μB/cell) = 2.0
- formation energy from the elements (eV per atom) = -0.59
- DFT total energy (eV per atom) = -6.392
- V (Å³/atom) = 22.578

Cell lengths 4.487, 4.487, 4.487 Å; angles 90.00, 90.00, 90.00 degrees
Last column: magnetic moment on the atom in μB.
Fractional positions:
P1 0.000 0.500 0.417  -0.01
Ce1 0.000 0.000 0.917  0.54
Ce2 0.500 0.000 0.417  0.54
Ce3 0.500 0.500 0.917  0.54

A relaxed CeP2 crystal, computed with PBE.

Results
- total magnetic moment (μB/cell) = 6.8
- formation energy from the elements (eV per atom) = -1.00
- DFT total energy (eV per atom) = -6.588
- V (Å³/atom) = 20.979

Cell lengths 9.121, 9.121, 8.577 Å; angles 61.98, 61.98, 96.32 degrees
Last column: magnetic moment on the atom in μB.
Fractional positions:
Ce1 0.673 0.755 0.422  0.76
Ce2 0.755 0.673 0.922  0.76
Ce3 0.358 0.275 0.120  0.69
Ce4 0.275 0.358 0.620  0.69
Ce5 0.668 0.118 0.821  0.62
Ce6 0.118 0.668 0.321  0.62
Ce7 0.908 0.292 0.212  0.74
Ce8 0.292 0.908 0.712  0.74
P1 0.132 0.873 0.495  0.01
P2 0.873 0.132 0.995  0.01
P3 0.054 0.993 0.253  0.00
P4 0.993 0.054 0.753  0.00
P5 0.480 0.735 0.230  -0.01
P6 0.735 0.480 0.730  -0.01
P7 0.301 0.067 0.942  -0.01
P8 0.067 0.301 0.442  -0.01
P9 0.432 0.939 0.301  0.00
P10 0.939 0.432 0.801  0.00
P11 0.920 0.658 0.143  -0.01
P12 0.658 0.920 0.643  -0.01
P13 0.539 0.291 0.324  -0.01
P14 0.291 0.539 0.824  -0.01
P15 0.660 0.406 0.437  0.00
P16 0.406 0.660 0.937  0.00

A relaxed CeP3 crystal, computed with PBE.

Results
- total magnetic moment (μB/cell) = 0.0
- formation energy from the elements (eV per atom) = -0.52
- DFT total energy (eV per atom) = -6.060
- V (Å³/atom) = 18.140

Cell lengths 3.890, 3.890, 5.528 Å; angles 110.60, 110.60, 90.00 degrees
Fractional positions:
P1 0.750 0.250 0.500
P2 0.250 0.750 0.500
P3 0.500 0.500 0.000
Ce1 0.000 0.000 0.000

A relaxed CeP2 crystal, computed with PBE.

Results
- total magnetic moment (μB/cell) = 2.4
- formation energy from the elements (eV per atom) = -1.02
- DFT total energy (eV per atom) = -6.606
- V (Å³/atom) = 20.479

Cell lengths 6.341, 4.048, 10.004 Å; angles 73.17, 90.00, 90.00 degrees
Last column: magnetic moment on the atom in μB.
Fractional positions:
Ce1 0.320 0.920 0.864  0.52
Ce2 0.680 0.080 0.136  0.52
Ce3 0.820 0.080 0.636  0.52
Ce4 0.180 0.920 0.364  0.52
P1 0.849 0.465 0.325  -0.01
P2 0.151 0.535 0.675  -0.01
P3 0.368 0.301 0.552  0.00
P4 0.868 0.699 0.948  0.00
P5 0.651 0.465 0.825  -0.01
P6 0.132 0.301 0.052  0.00
P7 0.632 0.699 0.448  0.00
P8 0.349 0.535 0.175  -0.01

A relaxed Ce4P3 crystal, computed with PBE.

Results
- total magnetic moment (μB/cell) = 5.5
- formation energy from the elements (eV per atom) = -1.27
- DFT total energy (eV per atom) = -6.977
- V (Å³/atom) = 22.911

Cell lengths 7.469, 7.469, 7.469 Å; angles 109.47, 109.47, 109.47 degrees
Last column: magnetic moment on the atom in μB.
Fractional positions:
Ce1 0.361 0.500 0.000  0.59
Ce2 0.500 0.361 0.500  0.59
Ce3 0.000 0.000 0.361  0.59
Ce4 0.639 0.139 0.139  0.59
Ce5 0.000 0.000 0.861  0.59
Ce6 0.139 0.639 0.639  0.59
Ce7 0.861 0.500 0.000  0.59
Ce8 0.500 0.861 0.500  0.59
P1 0.125 0.375 0.250  -0.02
P2 0.625 0.750 0.875  -0.02
P3 0.875 0.250 0.625  -0.02
P4 0.250 0.875 0.125  -0.02
P5 0.750 0.625 0.375  -0.02
P6 0.375 0.125 0.750  -0.02

A relaxed CeP3 crystal, computed with PBE.

Results
- total magnetic moment (μB/cell) = 0.0
- formation energy from the elements (eV per atom) = -0.56
- DFT total energy (eV per atom) = -6.101
- V (Å³/atom) = 17.553

Cell lengths 4.124, 4.124, 4.128 Å; angles 90.00, 90.00, 90.00 degrees
Fractional positions:
P1 0.000 0.000 0.916
P2 0.500 0.000 0.417
P3 0.500 0.500 0.916
Ce1 0.000 0.500 0.416